Record 1
VASP calculation (GGA-PBE) on crystalline Pm3MgCd4 at its relaxed geometry.

Summary:
symmetry	I4/mmm
energy of formation from the pure elements	-77	meV/atom
energy relative to the lowest polymorph listed for this composition	0.224	eV/atom
V	28.500	Å³/atom

abc: 6.7180 6.7180 6.7180
angles: 119.45 104.72 104.72
Closest atoms and distances in Å follow each position.
Fractional positions:
Pm1 0.5000 0.7500 0.2500  8 Cd 3.36, 2 Pm 3.39
Pm2 0.0000 0.0000 0.0000  4 Cd 3.10, 2 Mg 3.39
Pm3 0.5000 0.2500 0.7500  8 Cd 3.36, 2 Pm 3.39
Mg1 0.0000 0.5000 0.5000  4 Cd 2.70
Cd1 0.5339 0.2670 0.2670  1 Mg 2.70
Cd2 0.0000 0.2670 0.7330  1 Mg 2.70
Cd3 0.0000 0.7330 0.2670  1 Mg 2.70
Cd4 0.4661 0.7330 0.7330  1 Mg 2.70

Record 2
VASP calculation (GGA-PBE) on crystalline PmMg5Cd2 at its relaxed geometry.

Summary:
symmetry	Immm
energy of formation from the pure elements	-138	meV/atom
V	23.866	Å³/atom

abc: 3.3919 7.7676 7.7676
angles: 76.18 77.39 77.39
Closest atoms and distances in Å follow each position.
Fractional positions:
Pm1 0.0000 0.0000 0.0000  4 Cd 3.36, 2 Pm 3.39, 8 Mg 3.51
Mg1 0.0000 0.5000 0.5000  2 Cd 2.98, 8 Mg 3.16
Mg2 0.6339 0.5902 0.1420  3 Cd 2.96-3.08, 5 Mg 3.15-3.25
Mg3 0.3661 0.4098 0.8580  3 Cd 2.96-3.08, 5 Mg 3.15-3.25
Mg4 0.3661 0.8580 0.4098  3 Cd 2.96-3.08, 5 Mg 3.15-3.25
Mg5 0.6339 0.1420 0.5902  3 Cd 2.96-3.08, 5 Mg 3.15-3.25
Cd1 0.7465 0.7535 0.7535  7 Mg 2.96-3.08
Cd2 0.2535 0.2465 0.2465  7 Mg 2.96-3.08

Record 3
VASP calculation (GGA-PBE) on crystalline Pm3Mg4Cd2 at its relaxed geometry.

Summary:
symmetry	P-3m1
energy of formation from the pure elements	-108	meV/atom
energy relative to the lowest polymorph listed for this composition	0.090	eV/atom
V	25.643	Å³/atom

abc: 5.2584 5.2595 9.6358
angles: 90.01 90.00 120.00
Closest atoms and distances in Å follow each position.
Fractional positions:
Pm1 0.3335 0.6669 0.5897  4 Mg 3.12-3.14, 4 Cd 3.45-3.49
Pm2 0.0000 0.0000 0.0000  8 Mg 3.14-3.24
Pm3 0.6665 0.3331 0.4103  4 Mg 3.12-3.14, 4 Cd 3.45-3.49
Mg1 0.6667 0.3334 0.0850  4 Cd 3.05-3.35, 4 Pm 3.14
Mg2 0.0004 0.0006 0.6637  4 Pm 3.12-3.24, 1 Mg 3.16, 3 Cd 3.20
Mg3 0.9996 0.9994 0.3363  4 Pm 3.12-3.24, 1 Mg 3.16, 3 Cd 3.20
Mg4 0.3333 0.6666 0.9150  4 Cd 3.05-3.35, 4 Pm 3.14
Cd1 0.3332 0.6664 0.2320  7 Mg 3.05-3.35
Cd2 0.6668 0.3336 0.7680  7 Mg 3.05-3.35

Record 4
VASP calculation (GGA-PBE) on crystalline Pm5MgCd6 at its relaxed geometry.

Summary:
symmetry	Immm
energy of formation from the pure elements	-301	meV/atom
V	27.028	Å³/atom

abc: 5.2712 9.2554 9.2554
angles: 119.50 106.53 106.53
Closest atoms and distances in Å follow each position.
Fractional positions:
Mg1 0.0000 0.0000 0.0000  8 Cd 3.12-3.20
Cd1 0.2384 0.0807 0.3966  1 Mg 3.12, 7 Pm 3.22-3.44
Cd2 0.7616 0.6034 0.9193  1 Mg 3.12, 7 Pm 3.22-3.44
Cd3 0.7351 0.2343 0.2343  2 Mg 3.19-3.20, 6 Pm 3.23-3.38
Cd4 0.2649 0.7657 0.7657  2 Mg 3.19-3.20, 6 Pm 3.23-3.38
Cd5 0.2384 0.3966 0.0807  1 Mg 3.12, 7 Pm 3.22-3.44
Cd6 0.7616 0.9193 0.6034  1 Mg 3.12, 7 Pm 3.22-3.44
Pm1 0.5000 0.1675 0.8325  8 Cd 3.22-3.44
Pm2 0.0000 0.3315 0.6685  8 Cd 3.32-3.38
Pm3 0.5000 0.5000 0.5000  8 Cd 3.23-3.34
Pm4 0.0000 0.6685 0.3315  8 Cd 3.32-3.38
Pm5 0.5000 0.8325 0.1675  8 Cd 3.22-3.44

Number 4 is which compound? Pm5MgCd6

Repeat the third record exactly.
VASP calculation (GGA-PBE) on crystalline Pm3Mg4Cd2 at its relaxed geometry.

Summary:
symmetry	P-3m1
energy of formation from the pure elements	-108	meV/atom
energy relative to the lowest polymorph listed for this composition	0.090	eV/atom
V	25.643	Å³/atom

abc: 5.2584 5.2595 9.6358
angles: 90.01 90.00 120.00
Closest atoms and distances in Å follow each position.
Fractional positions:
Pm1 0.3335 0.6669 0.5897  4 Mg 3.12-3.14, 4 Cd 3.45-3.49
Pm2 0.0000 0.0000 0.0000  8 Mg 3.14-3.24
Pm3 0.6665 0.3331 0.4103  4 Mg 3.12-3.14, 4 Cd 3.45-3.49
Mg1 0.6667 0.3334 0.0850  4 Cd 3.05-3.35, 4 Pm 3.14
Mg2 0.0004 0.0006 0.6637  4 Pm 3.12-3.24, 1 Mg 3.16, 3 Cd 3.20
Mg3 0.9996 0.9994 0.3363  4 Pm 3.12-3.24, 1 Mg 3.16, 3 Cd 3.20
Mg4 0.3333 0.6666 0.9150  4 Cd 3.05-3.35, 4 Pm 3.14
Cd1 0.3332 0.6664 0.2320  7 Mg 3.05-3.35
Cd2 0.6668 0.3336 0.7680  7 Mg 3.05-3.35

Repeat the first record exactly.
VASP calculation (GGA-PBE) on crystalline Pm3MgCd4 at its relaxed geometry.

Summary:
symmetry	I4/mmm
energy of formation from the pure elements	-77	meV/atom
energy relative to the lowest polymorph listed for this composition	0.224	eV/atom
V	28.500	Å³/atom

abc: 6.7180 6.7180 6.7180
angles: 119.45 104.72 104.72
Closest atoms and distances in Å follow each position.
Fractional positions:
Pm1 0.5000 0.7500 0.2500  8 Cd 3.36, 2 Pm 3.39
Pm2 0.0000 0.0000 0.0000  4 Cd 3.10, 2 Mg 3.39
Pm3 0.5000 0.2500 0.7500  8 Cd 3.36, 2 Pm 3.39
Mg1 0.0000 0.5000 0.5000  4 Cd 2.70
Cd1 0.5339 0.2670 0.2670  1 Mg 2.70
Cd2 0.0000 0.2670 0.7330  1 Mg 2.70
Cd3 0.0000 0.7330 0.2670  1 Mg 2.70
Cd4 0.4661 0.7330 0.7330  1 Mg 2.70

Number 1 is which compound? Pm3MgCd4